Entry 1:
## RbSmMgS3 (GGA-PBE)

Data for RbSmMgS3 after structural relaxation.

The structure in extended XYZ format:
```
12
Lattice="-7.1889 2.3138 -1.8166 5.5248 -0.9296 5.3802 3.8019 10.1201 -2.1556" Properties=species:S:1:pos:R:3 pbc="T T T"
S -4.0418 6.3483 -1.9141
S 2.7480 8.0963 0.5776
S -5.4575 2.5797 -1.1114
S 7.5953 8.9247 2.5194
S -0.6103 3.4080 0.8304
S 6.1795 5.1560 3.3221
Mg -5.8076 4.7339 -2.1116
Mg 7.9454 6.7705 3.5197
Sm 1.0689 5.7522 0.7040
Sm -0.8321 0.6921 1.7818
Rb 3.3812 2.3898 3.0899
Rb -1.2434 9.1145 -1.6818
```

Calculated values
- SG = Cmcm, No. 63
- energy (eV per atom) = -4.93



Entry 2:
## RbSmMgS3 (GGA-PBE)

Data for RbSmMgS3 after structural relaxation.

The structure in extended XYZ format:
```
24
Lattice="-7.4161 4.5867 -6.7334 0.3852 -3.2250 -2.6210 -10.9446 -7.1473 7.1857" Properties=species:S:1:pos:R:3 pbc="T T T"
Sm -15.3072 -3.2448 -3.2413
Sm -2.6685 -2.5408 1.0726
Sm -6.4310 -0.2830 -2.2583
Sm -11.5446 -5.5026 0.0896
S -10.7341 -0.6980 -5.7030
S -5.1677 -1.8198 -0.1817
S -4.4817 -1.3298 -4.0067
S -10.3427 -7.0707 2.1957
S -9.9801 -3.3562 1.0014
S -16.2918 -2.7631 -0.6558
S -7.9956 -2.4294 -3.1701
S -1.6838 -3.0224 -1.5129
S -13.4939 -4.4558 1.8380
S -12.8080 -3.9658 -1.9870
S -7.2415 -5.0876 3.5343
S -7.6329 1.2851 -4.3644
Mg -9.5310 -4.8112 2.8577
Mg -8.4446 -0.9743 -5.0264
Mg -3.9847 -2.7767 -2.1533
Mg -13.9909 -3.0088 -0.0154
Rb -5.2757 0.9265 -6.8996
Rb -11.0872 -0.9440 -2.1293
Rb -12.7000 -6.7121 4.7308
Rb -6.8884 -4.8416 -0.0394
```

Calculated values
- SG = Pnma, No. 62
- energy (eV per atom) = -4.93



Entry 3:
## RbMgZrS3 (GGA-PBE)

Data for RbMgZrS3 after structural relaxation.

The structure in extended XYZ format:
```
12
Lattice="-4.9403 0.9542 7.2712 -0.1919 -3.8822 0.3791 9.4718 -0.2632 2.0985" Properties=species:S:1:pos:R:3 pbc="T T T"
Zr -2.2197 -2.3254 5.2368
Zr 6.5594 -0.8657 4.5120
Rb 3.2691 -0.4215 7.3960
Rb 1.0706 -2.7696 2.3529
S 0.2185 -2.2723 7.0140
S -0.8401 -0.5592 3.9059
S 5.1799 -2.6319 5.8429
S 7.4593 -3.0092 3.1332
S 4.1212 -0.9188 2.7348
S -3.1196 -0.1819 6.6156
Mg 5.2514 -2.9863 2.2507
Mg -0.9117 -0.2049 7.4981
```

Calculated values
- SG = P2_1/m, No. 11
- energy (eV per atom) = -5.31



Entry 4:
## RbMgZrS3 (GGA-PBE)

Data for RbMgZrS3 after structural relaxation.

The structure in extended XYZ format:
```
24
Lattice="-4.7679 13.9964 -3.5149 -2.7604 -0.2497 2.7503 6.5864 3.9948 6.9733" Properties=species:S:1:pos:R:3 pbc="T T T"
Zr -3.6743 7.5728 1.1573
Zr -1.2218 16.2147 1.6315
Zr 2.7323 10.1688 5.0514
Zr 0.2798 1.5270 4.5771
S -1.4812 14.9847 4.0313
S 0.6257 10.4699 2.9643
S -5.7032 13.2075 -0.3677
S 1.2391 8.1905 6.1449
S -2.0535 5.9919 -0.1313
S 0.5392 2.7569 2.1774
S -1.5676 7.2717 3.2443
S -2.3029 14.2849 0.3712
S 4.7613 4.5341 6.5763
S -2.1811 9.5511 0.0638
S 1.1116 11.7497 6.3399
S 1.3609 3.4568 5.8374
Rb 1.6095 5.7693 3.5251
Rb -2.9426 3.2910 1.5030
Rb 2.0006 14.4506 4.7057
Rb -2.5515 11.9724 2.6836
Mg -0.3759 9.0119 4.5984
Mg -0.5660 8.7297 1.6102
Mg -0.0589 0.5931 1.3806
Mg -0.8830 17.1485 4.8281
```

Calculated values
- SG = Pnma, No. 62
- energy (eV per atom) = -5.31



Entry 5:
## Rb2MgTcSe6 (GGA-PBE)

Data for Rb2MgTcSe6 after structural relaxation.

The structure in extended XYZ format:
```
10
Lattice="-1.9035 3.9151 1.0028 -1.5218 -1.7212 3.8313 12.8173 4.4194 7.0764" Properties=species:S:1:pos:R:3 pbc="T T T"
Se -1.7127 1.0969 2.4170
Se 0.4085 2.4265 1.2524
Se 0.5994 -0.3916 2.6666
Se 4.6960 3.3066 5.9552
Se 10.5053 5.9079 6.8268
Se 10.6962 3.0897 8.2411
Rb 7.4970 4.2724 7.5017
Rb 1.8950 2.3408 4.4088
Mg 6.4086 2.2097 3.5382
Tc 0.0000 0.0000 0.0000
```

Calculated values
- SG = P4/mmm, No. 123
- energy (eV per atom) = -3.51



Entry 6:
## RbMgTa (GGA-PBE)

Data for RbMgTa after structural relaxation.

The structure in extended XYZ format:
```
3
Lattice="0.0000 3.8022 3.8022 3.8022 0.0000 3.8022 3.8022 3.8022 0.0000" Properties=species:S:1:pos:R:3 pbc="T T T"
Rb 1.9011 1.9011 1.9011
Mg 0.0000 0.0000 0.0000
Ta 5.7033 5.7033 5.7033
```

Calculated values
- SG = F-43m, No. 216
- relative energy among the computed polymorphs (eV per formula unit) = 0.000
- energy (eV per atom) = -2.87



Entry 7:
## RbMgZrTe3 (GGA-PBE)

Data for RbMgZrTe3 after structural relaxation.

The structure in extended XYZ format:
```
12
Lattice="2.1591 -8.3534 0.0000 2.1591 8.3534 0.0000 0.0000 0.0000 11.3493" Properties=species:S:1:pos:R:3 pbc="T T T"
Te 2.1591 6.3187 0.4964
Te 2.1591 -6.3187 6.1710
Te 2.1591 -6.3187 10.8528
Te 2.1591 -1.1471 8.5119
Te 2.1591 1.1471 2.8373
Te 2.1591 6.3187 5.1782
Mg 2.1591 -7.7547 8.5119
Mg 2.1591 7.7547 2.8373
Zr 2.1590 0.0000 5.6746
Zr 2.1590 0.0000 0.0000
Rb 2.1591 -4.1722 2.8373
Rb 2.1591 4.1722 8.5119
```

Calculated values
- SG = Cmcm, No. 63
- relative energy among the computed polymorphs (eV per formula unit) = 0.226
- energy (eV per atom) = -4.30



Entry 8:
## RbMgZrTe3 (GGA-PBE)

Data for RbMgZrTe3 after structural relaxation.

The structure in extended XYZ format:
```
12
Lattice="9.8512 0.0000 0.0000 0.0000 4.2670 0.0000 -4.1859 0.0000 9.9864" Properties=species:S:1:pos:R:3 pbc="T T T"
Te 1.9957 1.0667 0.5125
Te 3.8582 3.2003 3.3264
Te 5.9365 1.0667 6.1639
Te 3.6696 3.2003 9.4740
Te -0.2713 3.2003 3.8225
Te 1.8071 1.0667 6.6600
Mg 0.3478 3.2003 1.1766
Mg 5.3174 1.0667 8.8098
Rb -1.0727 3.2003 7.4907
Rb 6.7380 1.0667 2.4957
Zr 3.7818 3.2003 6.1941
Zr 1.8834 1.0667 3.7924
```

Calculated values
- SG = P2_1/m, No. 11
- relative energy among the computed polymorphs (eV per formula unit) = 0.000
- energy (eV per atom) = -4.34



Which value of energy does entry 2 give?
-4.93 eV per atom



The highest energy belongs to which entry?
RbMgTa



energy of number 5 (Rb2MgTcSe6)?
-3.51 eV per atom



Please write out number 8 again, unchanged.
## RbMgZrTe3 (GGA-PBE)

Data for RbMgZrTe3 after structural relaxation.

The structure in extended XYZ format:
```
12
Lattice="9.8512 0.0000 0.0000 0.0000 4.2670 0.0000 -4.1859 0.0000 9.9864" Properties=species:S:1:pos:R:3 pbc="T T T"
Te 1.9957 1.0667 0.5125
Te 3.8582 3.2003 3.3264
Te 5.9365 1.0667 6.1639
Te 3.6696 3.2003 9.4740
Te -0.2713 3.2003 3.8225
Te 1.8071 1.0667 6.6600
Mg 0.3478 3.2003 1.1766
Mg 5.3174 1.0667 8.8098
Rb -1.0727 3.2003 7.4907
Rb 6.7380 1.0667 2.4957
Zr 3.7818 3.2003 6.1941
Zr 1.8834 1.0667 3.7924
```

Calculated values
- SG = P2_1/m, No. 11
- relative energy among the computed polymorphs (eV per formula unit) = 0.000
- energy (eV per atom) = -4.34